i) Here is a geometry-optimized LaSmIN structure from OQMD. Energies are from GGA-PBE.

Summary:
symmetry	No. 187

a = 3.8017 Å, b = 3.8017 Å, c = 15.2841 Å
α = 90.00°, β = 90.00°, γ = 120.00°
Last column: nearest neighbours and their distance in Å.
Fractional positions:
I 0.6667 0.3333 0.5000  6 Sm 3.30
Sm 0.0000 0.0000 0.3386  3 N 2.48
Sm 0.0000 0.0000 0.6614  3 N 2.48
I 0.0000 0.0000 0.0000  6 La 3.36
N 0.3333 0.6667 0.2629  3 Sm 2.48, 3 La 2.64
La 0.6667 0.3333 0.8332  3 N 2.64
La 0.6667 0.3333 0.1668  3 N 2.64
N 0.3333 0.6667 0.7371  3 Sm 2.48, 3 La 2.64

ii) Here is a geometry-optimized LaSmIN structure from OQMD. Energies are from GGA-PBE.

Summary:
symmetry	No. 164

a = 3.7984 Å, b = 3.7984 Å, c = 15.2930 Å
α = 90.00°, β = 90.00°, γ = 120.00°
Last column: nearest neighbours and their distance in Å.
Fractional positions:
I 0.6667 0.3333 0.7600  3 Sm 3.26, 3 La 3.41
I 0.3333 0.6667 0.2400  3 Sm 3.26, 3 La 3.41
Sm 0.3333 0.6667 0.9175  3 N 2.53
N 0.0000 0.0000 0.0000  6 Sm 2.53
La 0.6667 0.3333 0.4105  3 N 2.59
La 0.3333 0.6667 0.5895  3 N 2.59
Sm 0.6667 0.3333 0.0825  3 N 2.53
N 0.0000 0.0000 0.5000  6 La 2.59

Order from most stable to least stable according to the calculation: i), ii)